Entry 1:
Density functional theory data (GGA-PBE) for a relaxed structure of Zn9InAu2.

a = 8.4817 Å, b = 8.4817 Å, c = 8.4817 Å
α = 99.77°, β = 99.77°, γ = 131.36°
Positions (direct):
Zn 0.0532 0.2161 0.4197
Zn 0.0532 0.6335 0.8371
Zn 0.2161 0.0532 0.9197
Zn 0.2161 0.2964 0.1629
Zn 0.2964 0.2161 0.6629
Zn 0.2964 0.6335 0.0803
Zn 0.3665 0.7036 0.4197
Zn 0.3665 0.9468 0.6629
Zn 0.3750 0.6250 0.7500
Zn 0.6250 0.3750 0.2500
Zn 0.6335 0.0532 0.3371
Zn 0.6335 0.2964 0.5803
Zn 0.7036 0.3665 0.9197
Zn 0.7036 0.7839 0.3371
Zn 0.7839 0.7036 0.8371
Zn 0.7839 0.9468 0.0803
Zn 0.9468 0.3665 0.1629
Zn 0.9468 0.7839 0.5803
In 0.1250 0.8750 0.2500
In 0.8750 0.1250 0.7500
Au 0.0000 0.5000 0.5000
Au 0.5000 0.0000 0.0000
Au 0.5000 0.5000 0.0000
Au 0.5000 0.5000 0.5000

- Total moment: 0.0 Bohr magnetons per cell
- Energy relative to the elements: -0.8 eV per formula unit

=====

Entry 2:
Density functional theory data (GGA-PBE) for a relaxed structure of ScB2C2.

a = 7.9169 Å, b = 7.9169 Å, c = 7.9169 Å
α = 20.56°, β = 20.56°, γ = 20.56°
Positions (direct):
Sc 0.0000 0.0000 0.0000
B 0.2525 0.2525 0.2525
B 0.7475 0.7475 0.7475
C 0.4096 0.4096 0.4096
C 0.5904 0.5904 0.5904

- Total moment: 0.0 Bohr magnetons per cell
- Energy relative to the elements: -1.0 eV per formula unit

=====

Entry 3:
Density functional theory data (GGA-PBE) for a relaxed structure of CaInOs3.

a = 4.6963 Å, b = 4.6963 Å, c = 4.6963 Å
α = 90.00°, β = 90.00°, γ = 90.00°
Positions (direct):
Ca 0.0000 0.0000 0.0000
In 0.5000 0.5000 0.5000
Os 0.0000 0.0000 0.5000
Os 0.0000 0.5000 0.0000
Os 0.5000 0.0000 0.0000

- Total moment: 0.7 Bohr magnetons per cell
- Energy relative to the elements: 14.4 eV per formula unit

=====

Entry 4:
Density functional theory data (GGA-PBE) for a relaxed structure of Sm2Y4Tm5.

a = 3.6595 Å, b = 9.1430 Å, c = 10.8863 Å
α = 102.58°, β = 99.65°, γ = 90.01°
Positions (direct):
Sm 0.1162 0.0051 0.2318
Sm 0.8838 0.9949 0.7682
Y 0.1717 0.4188 0.3432
Y 0.4722 0.7957 0.9437
Y 0.5278 0.2043 0.0563
Y 0.8283 0.5812 0.6568
Tm 0.0000 0.5000 0.0000
Tm 0.2500 0.8285 0.5001
Tm 0.3818 0.3061 0.7638
Tm 0.6182 0.6939 0.2362
Tm 0.7500 0.1715 0.4999

- Total moment: 0.0 Bohr magnetons per cell
- Energy relative to the elements: 0.6 eV per formula unit